# GGA-PBE Ba2VCdTe, optimized geometry
data_Ba2VCdTe
_cell_length_a 6.4276
_cell_length_b 6.4276
_cell_length_c 5.1582
_cell_angle_alpha 90.00
_cell_angle_beta 90.00
_cell_angle_gamma 90.00
_symmetry_space_group_name_H-M 'P 1'
_symmetry_Int_Tables_number 1
loop_
_symmetry_equiv_pos_as_xyz
'x,y,z'
loop_
_atom_site_label
_atom_site_type_symbol
_atom_site_fract_x
_atom_site_fract_y
_atom_site_fract_z
Ba1 Ba 0.0000 0.5000 0.0000
Ba2 Ba 0.5000 0.0000 0.0000
V1 V 0.0000 0.0000 0.5000
Cd1 Cd 0.0000 0.0000 0.0000
Te1 Te 0.5000 0.5000 0.5000
# E_tot (Ry/atom): -0.243
# Formation energy without anion corrections (eV/atom): 0.101

---

# GGA-PBE Hf2CoOsRh, optimized geometry
data_Hf2CoOsRh
_cell_length_a 4.8430
_cell_length_b 4.8430
_cell_length_c 4.3508
_cell_angle_alpha 90.00
_cell_angle_beta 90.00
_cell_angle_gamma 90.00
_symmetry_space_group_name_H-M 'P 1'
_symmetry_Int_Tables_number 1
loop_
_symmetry_equiv_pos_as_xyz
'x,y,z'
loop_
_atom_site_label
_atom_site_type_symbol
_atom_site_fract_x
_atom_site_fract_y
_atom_site_fract_z
Hf1 Hf 0.0000 0.5000 0.0000
Hf2 Hf 0.5000 0.0000 0.0000
Co1 Co 0.0000 0.0000 0.5000
Os1 Os 0.5000 0.5000 0.5000
Rh1 Rh 0.0000 0.0000 0.0000
# E_tot (Ry/atom): -0.604

---

# GGA-PBE Tb8AlCo2, optimized geometry
data_Tb8AlCo2
_cell_length_a 7.8643
_cell_length_b 7.8643
_cell_length_c 5.2566
_cell_angle_alpha 97.32
_cell_angle_beta 97.32
_cell_angle_gamma 113.17
_symmetry_space_group_name_H-M 'P 1'
_symmetry_Int_Tables_number 1
loop_
_symmetry_equiv_pos_as_xyz
'x,y,z'
loop_
_atom_site_label
_atom_site_type_symbol
_atom_site_fract_x
_atom_site_fract_y
_atom_site_fract_z
Tb1 Tb 0.0670 0.3259 0.5704
Tb2 Tb 0.2491 0.7509 0.0000
Tb3 Tb 0.3259 0.0670 0.5704
Tb4 Tb 0.3827 0.3827 0.1951
Tb5 Tb 0.6173 0.6173 0.8049
Tb6 Tb 0.6741 0.9330 0.4296
Tb7 Tb 0.7509 0.2491 0.0000
Tb8 Tb 0.9330 0.6741 0.4296
Al1 Al 0.0000 0.0000 0.0000
Co1 Co 0.3079 0.6921 0.5000
Co2 Co 0.6921 0.3079 0.5000
# E_tot (Ry/atom): -0.373

---

# GGA-PBE TaHgSe2Br, optimized geometry
data_TaHgSe2Br
_cell_length_a 5.1772
_cell_length_b 5.1772
_cell_length_c 5.3016
_cell_angle_alpha 90.00
_cell_angle_beta 90.00
_cell_angle_gamma 90.00
_symmetry_space_group_name_H-M 'P 1'
_symmetry_Int_Tables_number 1
loop_
_symmetry_equiv_pos_as_xyz
'x,y,z'
loop_
_atom_site_label
_atom_site_type_symbol
_atom_site_fract_x
_atom_site_fract_y
_atom_site_fract_z
Ta1 Ta 0.0000 0.0000 0.0000
Hg1 Hg 0.5000 0.5000 0.5000
Se1 Se 0.0000 0.5000 0.5000
Se2 Se 0.5000 0.0000 0.5000
Br1 Br 0.5000 0.5000 0.0000
# E_tot (Ry/atom): -0.217
# Formation energy without anion corrections (eV/atom): 1.209
# Energy above the most stable polymorph in this dataset (meV/atom): 1460

---

# GGA-PBE LiCeInBi, optimized geometry
data_LiCeInBi
_cell_length_a 5.3275
_cell_length_b 5.3275
_cell_length_c 5.3275
_cell_angle_alpha 60.00
_cell_angle_beta 60.00
_cell_angle_gamma 60.00
_symmetry_space_group_name_H-M 'P 1'
_symmetry_Int_Tables_number 1
loop_
_symmetry_equiv_pos_as_xyz
'x,y,z'
loop_
_atom_site_label
_atom_site_type_symbol
_atom_site_fract_x
_atom_site_fract_y
_atom_site_fract_z
Li1 Li 0.0000 0.0000 0.0000
Ce1 Ce 0.5000 0.5000 0.5000
In1 In 0.7500 0.7500 0.7500
Bi1 Bi 0.2500 0.2500 0.2500
# E_tot (Ry/atom): -0.293

---

# GGA-PBE Mg3Si4, optimized geometry
data_Mg3Si4
_cell_length_a 5.3670
_cell_length_b 6.8955
_cell_length_c 7.8686
_cell_angle_alpha 70.47
_cell_angle_beta 74.60
_cell_angle_gamma 81.64
_symmetry_space_group_name_H-M 'P 1'
_symmetry_Int_Tables_number 1
loop_
_symmetry_equiv_pos_as_xyz
'x,y,z'
loop_
_atom_site_label
_atom_site_type_symbol
_atom_site_fract_x
_atom_site_fract_y
_atom_site_fract_z
Mg1 Mg 0.0000 0.0000 0.0000
Mg2 Mg 0.0087 0.5362 0.3473
Mg3 Mg 0.1847 0.7502 0.6318
Mg4 Mg 0.4727 0.8226 0.2096
Mg5 Mg 0.6515 0.2949 0.2305
Mg6 Mg 0.7396 0.4021 0.7752
Si1 Si 0.1005 0.1250 0.3759
Si2 Si 0.2164 0.1797 0.6333
Si3 Si 0.2925 0.2602 0.0520
Si4 Si 0.3034 0.6385 0.9814
Si5 Si 0.4796 0.4625 0.5082
Si6 Si 0.5793 0.9011 0.7431
Si7 Si 0.7854 0.8835 0.4300
Si8 Si 0.8382 0.6545 0.9622
# E_tot (Ry/atom): -0.270
# Formation energy without anion corrections (eV/atom): 0.105
# Energy above the most stable polymorph in this dataset (meV/atom): 52

---

# GGA-PBE TeRhBr3, optimized geometry
data_TeRhBr3
_cell_length_a 5.0611
_cell_length_b 5.0611
_cell_length_c 5.0611
_cell_angle_alpha 90.00
_cell_angle_beta 90.00
_cell_angle_gamma 90.00
_symmetry_space_group_name_H-M 'P 1'
_symmetry_Int_Tables_number 1
loop_
_symmetry_equiv_pos_as_xyz
'x,y,z'
loop_
_atom_site_label
_atom_site_type_symbol
_atom_site_fract_x
_atom_site_fract_y
_atom_site_fract_z
Te1 Te 0.0000 0.0000 0.0000
Rh1 Rh 0.5000 0.5000 0.5000
Br1 Br 0.0000 0.5000 0.5000
Br2 Br 0.5000 0.0000 0.5000
Br3 Br 0.5000 0.5000 0.0000
# E_tot (Ry/atom): -0.213
# Formation energy without anion corrections (eV/atom): 0.204
# Energy above the most stable polymorph in this dataset (meV/atom): 0

---

# GGA-PBE Y2TaCdC, optimized geometry
data_Y2TaCdC
_cell_length_a 5.0023
_cell_length_b 5.0023
_cell_length_c 4.2682
_cell_angle_alpha 90.00
_cell_angle_beta 90.00
_cell_angle_gamma 90.00
_symmetry_space_group_name_H-M 'P 1'
_symmetry_Int_Tables_number 1
loop_
_symmetry_equiv_pos_as_xyz
'x,y,z'
loop_
_atom_site_label
_atom_site_type_symbol
_atom_site_fract_x
_atom_site_fract_y
_atom_site_fract_z
Y1 Y 0.0000 0.5000 0.0000
Y2 Y 0.5000 0.0000 0.0000
Ta1 Ta 0.0000 0.0000 0.5000
Cd1 Cd 0.5000 0.5000 0.5000
C1 C 0.0000 0.0000 0.0000
# E_tot (Ry/atom): -0.527

---

# GGA-PBE ZnCr2Sb2, optimized geometry
data_ZnCr2Sb2
_cell_length_a 8.0482
_cell_length_b 8.0482
_cell_length_c 3.1372
_cell_angle_alpha 90.00
_cell_angle_beta 90.00
_cell_angle_gamma 90.00
_symmetry_space_group_name_H-M 'P 1'
_symmetry_Int_Tables_number 1
loop_
_symmetry_equiv_pos_as_xyz
'x,y,z'
loop_
_atom_site_label
_atom_site_type_symbol
_atom_site_fract_x
_atom_site_fract_y
_atom_site_fract_z
Zn1 Zn 0.0000 0.0000 0.0000
Zn2 Zn 0.5000 0.5000 0.0000
Cr1 Cr 0.1351 0.3649 0.5000
Cr2 Cr 0.3649 0.8649 0.5000
Cr3 Cr 0.6351 0.1351 0.5000
Cr4 Cr 0.8649 0.6351 0.5000
Sb1 Sb 0.1593 0.6593 0.0000
Sb2 Sb 0.3407 0.1593 0.0000
Sb3 Sb 0.6593 0.8407 0.0000
Sb4 Sb 0.8407 0.3407 0.0000
# E_tot (Ry/atom): -0.395
# Formation energy without anion corrections (eV/atom): 0.380
# Energy above the most stable polymorph in this dataset (meV/atom): 107

---

# GGA-PBE Sc2TcMoW, optimized geometry
data_Sc2TcMoW
_cell_length_a 5.0125
_cell_length_b 5.0125
_cell_length_c 4.6199
_cell_angle_alpha 90.00
_cell_angle_beta 90.00
_cell_angle_gamma 90.00
_symmetry_space_group_name_H-M 'P 1'
_symmetry_Int_Tables_number 1
loop_
_symmetry_equiv_pos_as_xyz
'x,y,z'
loop_
_atom_site_label
_atom_site_type_symbol
_atom_site_fract_x
_atom_site_fract_y
_atom_site_fract_z
Sc1 Sc 0.0000 0.5000 0.0000
Sc2 Sc 0.5000 0.0000 0.0000
Tc1 Tc 0.0000 0.0000 0.5000
Mo1 Mo 0.5000 0.5000 0.5000
W1 W 0.0000 0.0000 0.0000
# E_tot (Ry/atom): -0.588

---

# GGA-PBE Sr2CaI2O2, optimized geometry
data_Sr2CaI2O2
_cell_length_a 10.4439
_cell_length_b 10.4439
_cell_length_c 10.4439
_cell_angle_alpha 155.39
_cell_angle_beta 155.39
_cell_angle_gamma 35.09
_symmetry_space_group_name_H-M 'P 1'
_symmetry_Int_Tables_number 1
loop_
_symmetry_equiv_pos_as_xyz
'x,y,z'
loop_
_atom_site_label
_atom_site_type_symbol
_atom_site_fract_x
_atom_site_fract_y
_atom_site_fract_z
Sr1 Sr 0.0809 0.0809 0.0000
Sr2 Sr 0.9191 0.9191 0.0000
Ca1 Ca 0.5000 0.5000 0.0000
I1 I 0.3366 0.3366 0.0000
I2 I 0.6634 0.6634 0.0000
O1 O 0.0000 0.5000 0.5000
O2 O 0.5000 0.0000 0.5000
# E_tot (Ry/atom): -0.361
# Formation energy without anion corrections (eV/atom): -2.280

---

# GGA-PBE Sr4As2P, optimized geometry
data_Sr4As2P
_cell_length_a 8.5034
_cell_length_b 8.5034
_cell_length_c 8.5034
_cell_angle_alpha 110.13
_cell_angle_beta 110.13
_cell_angle_gamma 108.17
_symmetry_space_group_name_H-M 'P 1'
_symmetry_Int_Tables_number 1
loop_
_symmetry_equiv_pos_as_xyz
'x,y,z'
loop_
_atom_site_label
_atom_site_type_symbol
_atom_site_fract_x
_atom_site_fract_y
_atom_site_fract_z
Sr1 Sr 0.1940 0.2517 0.5577
Sr2 Sr 0.1940 0.6363 0.9423
Sr3 Sr 0.2517 0.1940 0.0577
Sr4 Sr 0.3637 0.8060 0.5577
Sr5 Sr 0.6363 0.1940 0.4423
Sr6 Sr 0.7483 0.8060 0.9423
Sr7 Sr 0.8060 0.3637 0.0577
Sr8 Sr 0.8060 0.7483 0.4423
As1 As 0.0000 0.5000 0.5000
As2 As 0.5000 0.0000 0.0000
As3 As 0.5000 0.5000 0.0000
As4 As 0.5000 0.5000 0.5000
P1 P 0.1250 0.8750 0.2500
P2 P 0.8750 0.1250 0.7500
# E_tot (Ry/atom): -0.296